The following is a DFT calculation (PBE-GGA) of an optimized crystal structure of NdSm4Sc5.

## Properties
M_tot ... 0.000 μB/atom
Formation energy from the elements ... 0.24 eV per atom
SG ... I4mm
Total energy ... -5.2917 eV/atom

a = 7.7339 Å, b = 7.7339 Å, c = 7.7339 Å
α = 98.13°, β = 98.13°, γ = 135.83°
Closest atoms and distances in Å follow each position.
Fractional coordinates of all 10 atoms:
Nd  0.0000  0.0000  0.0000  2 Sc 2.78-3.04
Sm  0.0446  0.7207  0.3239  5 Sc 3.16-3.48
Sm  0.3968  0.7207  0.6761  5 Sc 3.16-3.48
Sm  0.7207  0.0446  0.3239  5 Sc 3.16-3.48
Sm  0.7207  0.3968  0.6761  5 Sc 3.16-3.48
Sc  0.0898  0.0898  0.6200  3 Sc 3.07-3.38, 2 Sm 3.16, 1 Nd 3.17
Sc  0.0898  0.4698  0.0000  3 Sc 3.07-3.38, 2 Sm 3.16, 1 Nd 3.17
Sc  0.4698  0.0898  0.0000  3 Sc 3.07-3.38, 2 Sm 3.16, 1 Nd 3.17
Sc  0.4698  0.4698  0.3800  3 Sc 3.07-3.38, 2 Sm 3.16, 1 Nd 3.17
Sc  0.5220  0.5220  0.0000  2 Nd 2.78-3.04, 4 Sc 3.07